(i)
4
Lattice="-1.2106 3.4133 1.2336 -0.4482 1.1507 -3.6235 -8.0742 -0.9473 3.2379" Properties=species:S:1:pos:R:3 comment="PBE InSN2, relaxed" m_tot_mub_per_cell=0.000 pbc="T T T"
In -2.1569 1.6391 -1.6127
N -6.2705 2.6624 2.6328
N -6.9794 2.1344 1.9553
S -2.5387 2.7703 0.8167

***

(ii)
4
Lattice="-0.6482 -3.9405 -0.8035 -1.6075 -2.4227 2.8529 -3.8044 -1.3941 -0.4195" Properties=species:S:1:pos:R:3 comment="PBE InSN2, relaxed" m_tot_mub_per_cell=0.000 pbc="T T T"
N -1.5150 -1.9393 0.4075
N -4.5451 -5.8179 1.2225
In -3.0301 -3.8786 0.8150
S 0.0000 0.0000 0.0000

***

Which structure loses on stability? (ii) does.

***

(i)
8
Lattice="4.5295 0.0000 0.0000 0.0000 4.5295 0.0000 2.2647 2.2647 5.5898" Properties=species:S:1:pos:R:3 comment="PBE InSN2, relaxed" m_tot_mub_per_cell=0.000 pbc="T T T"
In 0.0000 0.0000 0.0000
In 4.5295 2.2647 2.7949
N 3.3971 3.5902 4.1923
N 1.3255 3.3971 1.3974
N 5.6618 5.4687 4.1923
N 3.2040 1.1324 1.3974
S 2.2647 4.5295 2.7949
S 2.2647 2.2647 0.0000

***

(ii)
4
Lattice="1.9679 0.0000 5.7752 -0.9840 1.7043 5.7752 -0.9840 -1.7043 5.7752" Properties=species:S:1:pos:R:3 comment="PBE InSN2, relaxed" m_tot_mub_per_cell=0.000 pbc="T T T"
In 0.0000 0.0000 8.6628
S 0.0000 0.0000 0.0000
N 0.0000 0.0000 15.6320
N 0.0000 0.0000 1.6936

***

Which structure loses on stability? (i) does.

***

(i)
5
Lattice="-4.1014 0.7159 -0.8433 -1.0277 -3.6639 1.8880 -0.5065 2.5089 4.5930" Properties=species:S:1:pos:R:3 comment="PBE InSbSN2, relaxed" m_tot_mub_per_cell=1.977 pbc="T T T"
S -0.2533 1.2545 2.2965
N -0.5139 -1.8319 0.9440
N -2.0507 0.3579 -0.4217
In 0.0000 0.0000 0.0000
Sb -2.8178 -0.2195 2.8188

***

(ii)
5
Lattice="4.0219 0.0000 0.0000 0.0000 4.0219 0.0000 0.0000 0.0000 5.3967" Properties=species:S:1:pos:R:3 comment="PBE InSbSN2, relaxed" m_tot_mub_per_cell=0.523 pbc="T T T"
N 2.0109 0.0000 0.0000
N 0.0000 2.0109 0.0000
S 0.0000 0.0000 2.6984
In 2.0109 2.0109 2.6984
Sb 0.0000 0.0000 0.0000

***

Which structure loses on stability? (i) does.

***

(i)
5
Lattice="-1.9594 -2.0451 -4.2334 4.6918 -0.5561 -1.9029 0.2459 -3.7735 1.7091" Properties=species:S:1:pos:R:3 comment="PBE InSiS2N, relaxed" m_tot_mub_per_cell=2.003 pbc="T T T"
N 0.1229 -1.8867 0.8545
Si 1.4892 -3.1873 -2.2136
In 0.0000 0.0000 0.0000
S -0.9797 -1.0225 -2.1167
S 2.3459 -0.2781 -0.9515

***

(ii)
5
Lattice="4.8355 0.0000 0.0000 0.0000 4.8355 0.0000 0.0000 0.0000 3.4036" Properties=species:S:1:pos:R:3 comment="PBE InSiS2N, relaxed" m_tot_mub_per_cell=0.000 pbc="T T T"
S 2.4178 0.0000 0.0000
S 0.0000 2.4178 0.0000
Si 0.0000 0.0000 0.0000
In 2.4178 2.4178 1.7018
N 0.0000 0.0000 1.7018

***

Which structure loses on stability? (i) does.

***

(i)
5
Lattice="5.2044 0.0000 0.0000 0.0000 5.2044 0.0000 0.0000 0.0000 4.1602" Properties=species:S:1:pos:R:3 comment="PBE InSnS2N, relaxed" m_tot_mub_per_cell=1.387 pbc="T T T"
S 2.6022 0.0000 0.0000
S 0.0000 2.6022 0.0000
N 0.0000 0.0000 2.0801
In 2.6022 2.6022 2.0801
Sn 0.0000 0.0000 0.0000

***

(ii)
5
Lattice="-3.6060 -3.5724 0.9713 2.0701 -0.8216 4.6636 -2.4964 2.9630 1.6301" Properties=species:S:1:pos:R:3 comment="PBE InSnS2N, relaxed" m_tot_mub_per_cell=2.009 pbc="T T T"
Sn -2.0162 -0.7155 3.6325
S -1.8030 -1.7862 0.4856
S 1.0350 -0.4108 2.3318
In 0.0000 0.0000 0.0000
N -1.2482 1.4815 0.8150

***

Which structure loses on stability? (ii) does.

***

(i)
5
Lattice="4.9098 0.0000 0.0000 0.0000 4.9098 0.0000 0.0000 0.0000 5.8531" Properties=species:S:1:pos:R:3 comment="PBE SrInSN2, relaxed" m_tot_mub_per_cell=4.863 pbc="T T T"
In 2.4549 2.4549 2.9265
S 0.0000 0.0000 2.9265
N 0.0000 2.4549 0.0000
N 2.4549 0.0000 0.0000
Sr 0.0000 0.0000 0.0000

***

(ii)
5
Lattice="4.3575 0.0000 0.0000 0.0000 4.3575 0.0000 0.0000 0.0000 5.3001" Properties=species:S:1:pos:R:3 comment="PBE SrInSN2, relaxed" m_tot_mub_per_cell=2.971 pbc="T T T"
Sr 2.1787 2.1787 2.6500
In 0.0000 0.0000 0.0000
N 2.1787 0.0000 0.0000
N 0.0000 2.1787 0.0000
S 0.0000 0.0000 2.6500

***

Which structure loses on stability? (i) does.

***

(i)
5
Lattice="5.1454 0.0000 0.0000 0.0000 5.1454 0.0000 0.0000 0.0000 4.1873" Properties=species:S:1:pos:R:3 comment="PBE SrInS2N, relaxed" m_tot_mub_per_cell=2.010 pbc="T T T"
In 0.0000 0.0000 0.0000
Sr 2.5727 2.5727 2.0936
N 0.0000 0.0000 2.0936
S 2.5727 0.0000 0.0000
S 0.0000 2.5727 0.0000

***

(ii)
5
Lattice="5.7306 0.0000 0.0000 0.0000 5.7306 0.0000 0.0000 0.0000 4.9439" Properties=species:S:1:pos:R:3 comment="PBE SrInS2N, relaxed" m_tot_mub_per_cell=4.024 pbc="T T T"
S 0.0000 2.8653 0.0000
S 2.8653 0.0000 0.0000
Sr 0.0000 0.0000 0.0000
N 0.0000 0.0000 2.4720
In 2.8653 2.8653 2.4720

***

Which structure loses on stability? (ii) does.

***

(i)
5
Lattice="-0.4065 -1.9034 3.5309 0.4010 -3.5505 -1.8678 5.1397 0.2098 0.7048" Properties=species:S:1:pos:R:3 comment="PBE TaInSN2, relaxed" m_tot_mub_per_cell=0.444 pbc="T T T"
N -0.2033 -0.9517 1.7655
N 0.2005 -1.7753 -0.9339
In 2.5671 -2.6221 1.1840
S 2.5698 0.1049 0.3524
Ta 0.0000 0.0000 0.0000

***

(ii)
5
Lattice="4.0546 0.0000 0.0000 0.0000 4.0546 0.0000 0.0000 0.0000 5.0379" Properties=species:S:1:pos:R:3 comment="PBE TaInSN2, relaxed" m_tot_mub_per_cell=0.419 pbc="T T T"
N 0.0000 2.0273 0.0000
N 2.0273 0.0000 0.0000
In 0.0000 0.0000 0.0000
S 0.0000 0.0000 2.5190
Ta 2.0273 2.0273 2.5190

***

Which structure loses on stability? (ii) does.